No. 1
# GaOs2Pb

A relaxed GaOs2Pb crystal (PBE, Alexandria via LeMat-Bulk).

Cell lengths 4.541, 4.541, 4.541 Å; angles 60.00, 60.00, 60.00 degrees
Fractional positions:
1 Os 0.250 0.250 0.250
2 Pb 0.500 0.500 0.500
3 Os 0.750 0.750 0.750
4 Ga 0.000 0.000 0.000

Results
E_form = 0.70 eV/atom
symmetry = Fm-3m (225)
total magnetization = 0.0 μB per cell
relative energy among the computed polymorphs = 0.00 eV per formula unit
volume = 66.2 Å³/f.u.

=====

No. 2
# GaOs3Pb

A relaxed GaOs3Pb crystal (PBE, Alexandria via LeMat-Bulk).

Cell lengths 5.035, 5.035, 5.035 Å; angles 90.00, 90.00, 90.00 degrees
Last column: magnetic moment on the atom in μB.
Fractional positions:
1 Os 0.000 0.500 0.000  1.53
2 Ga 0.500 0.500 0.500  0.09
3 Os 0.500 0.000 0.000  1.31
4 Os 0.000 0.000 0.500  1.75
5 Pb 0.000 0.000 0.000  -0.05

Results
E_form = 3.03 eV/atom
symmetry = Pm-3m (221)
total magnetization = 5.0 μB per cell
relative energy among the computed polymorphs = 6.34 eV per formula unit
volume = 127.6 Å³/f.u.

=====

No. 3
# GaOsPb2

A relaxed GaOsPb2 crystal (PBE, Alexandria via LeMat-Bulk).

Cell lengths 6.609, 6.609, 7.511 Å; angles 63.90, 63.90, 90.00 degrees
Fractional positions:
1 Os 0.000 0.000 0.000
2 Ga 0.500 0.500 0.000
3 Pb 0.657 0.125 0.250
4 Pb 0.093 0.625 0.250
5 Pb 0.875 0.907 0.750
6 Os 0.750 0.250 0.500
7 Ga 0.250 0.750 0.500
8 Pb 0.375 0.343 0.750

Results
E_form = 1.03 eV/atom
symmetry = I-42d (122)
total magnetization = 0.0 μB per cell
volume = 128.4 Å³/f.u.

=====

No. 4
# GaOs3Pb

A relaxed GaOs3Pb crystal (PBE, Alexandria via LeMat-Bulk).

Cell lengths 4.588, 4.588, 4.588 Å; angles 90.00, 90.00, 90.00 degrees
Last column: magnetic moment on the atom in μB.
Fractional positions:
1 Os 0.000 0.000 0.500  0.35
2 Os 0.500 0.000 0.000  0.23
3 Os 0.000 0.500 0.000  0.26
4 Ga 0.000 0.000 0.000  -0.01
5 Pb 0.500 0.500 0.500  0.00

Results
E_form = 1.76 eV/atom
symmetry = Pm-3m (221)
total magnetization = 0.9 μB per cell
relative energy among the computed polymorphs = 0.00 eV per formula unit
volume = 96.6 Å³/f.u.

=====

No. 5
# GaOsPd2Pb

A relaxed GaOsPd2Pb crystal (PBE, Alexandria via LeMat-Bulk).

Cell lengths 4.566, 5.274, 4.566 Å; angles 90.00, 90.00, 90.00 degrees
Last column: magnetic moment on the atom in μB.
Fractional positions:
1 Pd 0.000 0.000 0.500  0.06
2 Ga 0.000 0.000 0.000  -0.01
3 Pb 0.000 0.500 0.000  -0.03
4 Os 0.500 0.500 0.500  2.25
5 Pd 0.500 0.000 0.000  0.00

Results
E_form = 1.21 eV/atom
symmetry = P4/mmm (123)
total magnetization = 2.4 μB per cell
volume = 110.0 Å³/f.u.

=====

No. 6
# GaOs2PdPb

A relaxed GaOs2PdPb crystal (PBE, Alexandria via LeMat-Bulk).

Cell lengths 5.050, 5.023, 5.050 Å; angles 90.00, 90.00, 90.00 degrees
Last column: magnetic moment on the atom in μB.
Fractional positions:
1 Ga 0.500 0.500 0.500  0.04
2 Os 0.000 0.000 0.500  1.44
3 Os 0.500 0.000 0.000  1.27
4 Pd 0.000 0.500 0.000  0.09
5 Pb 0.000 0.000 0.000  -0.04

Results
E_form = 2.27 eV/atom
symmetry = P4/mmm (123)
total magnetization = 3.0 μB per cell
volume = 128.1 Å³/f.u.

=====

No. 7
# Ga2ReOsPb

A relaxed Ga2ReOsPb crystal (PBE, Alexandria via LeMat-Bulk).

Cell lengths 5.064, 5.229, 5.064 Å; angles 90.00, 90.00, 90.00 degrees
Last column: magnetic moment on the atom in μB.
Fractional positions:
1 Ga 0.000 0.000 0.500  -0.01
2 Pb 0.000 0.000 0.000  -0.01
3 Re 0.000 0.500 0.000  2.12
4 Os 0.500 0.500 0.500  2.35
5 Ga 0.500 0.000 0.000  -0.02

Results
E_form = 2.60 eV/atom
symmetry = P4/mmm (123)
total magnetization = 5.0 μB per cell
volume = 134.1 Å³/f.u.

=====

No. 8
# GaOsRu2Pb

A relaxed GaOsRu2Pb crystal (PBE, Alexandria via LeMat-Bulk).

Cell lengths 4.769, 4.765, 4.769 Å; angles 90.00, 90.00, 90.00 degrees
Fractional positions:
1 Ga 0.000 0.500 0.000
2 Pb 0.500 0.500 0.500
3 Os 0.000 0.000 0.000
4 Ru 0.500 0.000 0.000
5 Ru 0.000 0.000 0.500

Results
E_form = 1.04 eV/atom
symmetry = P4/mmm (123)
total magnetization = 0.0 μB per cell
volume = 108.4 Å³/f.u.